# Sr4Au2O PBE optimized geometry
data_Sr4Au2O
_chemical_formula_sum 'Sr4 Au2 O1'
_cell_length_a 4.975
_cell_length_b 4.975
_cell_length_c 9.023
_cell_angle_alpha 74.00
_cell_angle_beta 74.00
_cell_angle_gamma 90.00
_space_group_name_H-M_alt 'P 1'
_space_group_IT_number 1
loop_
_space_group_symop_operation_xyz
'x,y,z'
loop_
_atom_site_label
_atom_site_fract_x
_atom_site_fract_y
_atom_site_fract_z
_atom_site_occupancy
Sr1 0.000 0.500 0.000 1
Sr2 0.825 0.825 0.351 1
Sr3 0.175 0.175 0.649 1
Sr4 0.500 0.000 0.000 1
O1 0.000 0.000 0.000 1
Au1 0.633 0.633 0.735 1
Au2 0.367 0.367 0.265 1
# - Formation energy from raw total energies: -805 kJ/mol of formula units
# - Fermi-level density of states: 2.0 states/eV per cell
# - Distance to the lowest polymorph of the same formula: 0 meV per atom